Entry from Alexandria via LeMat-Bulk: a relaxed structure of ErPuAgSb (PBE).

Summary:
size of the total moment = 6.98 μB per formula unit
electronic total energy = -6.8750 eV/atom
Fermi-level density of states = 2.5605 states/eV/atom
formation energy (no corrections) = -408 meV/atom

Unit cell a=5.2355 b=5.2355 c=5.2355 alpha=60.00 beta=60.00 gamma=60.00
Atoms (fractional coordinates):
Sb 0.2500 0.2500 0.2500
Er 0.0000 0.0000 0.0000
Ag 0.7500 0.7500 0.7500
Pu 0.5000 0.5000 0.5000

***

Entry from Alexandria via LeMat-Bulk: a relaxed structure of LiMoW2Au (PBE).

Summary:
size of the total moment = 0.00 μB per formula unit
electronic total energy = -7.1978 eV/atom
Fermi-level density of states = 0.7258 states/eV/atom
energy of formation = 573 kJ/mol of formula units

Unit cell a=4.2880 b=4.1485 c=4.2880 alpha=90.00 beta=90.00 gamma=90.00
Atoms (fractional coordinates):
Mo 0.5000 0.5000 0.5000
Au 0.0000 0.5000 0.0000
W 0.0000 0.0000 0.5000
W 0.5000 0.0000 0.0000
Li 0.0000 0.0000 0.0000

***

Entry from Alexandria via LeMat-Bulk: a relaxed structure of Cd6RhAu12 (PBE).

Summary:
size of the total moment = 0.00 μB per formula unit
electronic total energy = -2.8526 eV/atom
Fermi-level density of states = 0.2188 states/eV/atom
energy of formation = -196 kJ/mol of formula units

Unit cell a=7.1457 b=7.1457 c=7.1457 alpha=91.41 beta=91.41 gamma=91.41
Atoms (fractional coordinates):
Cd 0.7216 0.8862 0.2632
Cd 0.7368 0.2784 0.1138
Cd 0.1138 0.7368 0.2784
Cd 0.2784 0.1138 0.7368
Cd 0.2632 0.7216 0.8862
Cd 0.8862 0.2632 0.7216
Rh 0.0000 0.0000 0.0000
Au 0.7947 0.5324 0.4466
Au 0.4466 0.7947 0.5324
Au 0.5324 0.4466 0.7947
Au 0.2053 0.4676 0.5534
Au 0.5534 0.2053 0.4676
Au 0.4676 0.5534 0.2053
Au 0.0461 0.1485 0.3682
Au 0.8515 0.6318 0.9539
Au 0.6318 0.9539 0.8515
Au 0.9539 0.8515 0.6318
Au 0.1485 0.3682 0.0461
Au 0.3682 0.0461 0.1485

***

Entry from Alexandria via LeMat-Bulk: a relaxed structure of NiSbTe2W (PBE).

Summary:
size of the total moment = 0.83 μB per formula unit
energy above the most stable polymorph in this dataset = 0.014 eV/atom
electronic total energy = -4.7171 eV/atom
Fermi-level density of states = 1.8709 states/eV/atom
formation energy (no corrections) = 1111 meV/atom

Unit cell a=5.2424 b=5.2424 c=5.2870 alpha=90.00 beta=90.00 gamma=90.00
Atoms (fractional coordinates):
Sb 0.0000 0.0000 0.5000
Te 0.0000 0.5000 0.0000
Te 0.5000 0.0000 0.0000
W 0.0000 0.0000 0.0000
Ni 0.5000 0.5000 0.5000

***

Entry from Alexandria via LeMat-Bulk: a relaxed structure of PmSb2Pd (PBE).

Summary:
size of the total moment = 0.00 μB per formula unit
energy above the most stable polymorph in this dataset = 0.000 eV/atom
electronic total energy = -5.3684 eV/atom
Fermi-level density of states = 0.6248 states/eV/atom
formation energy (no corrections) = -821 meV/atom

Unit cell a=4.5110 b=4.5110 c=10.2437 alpha=102.73 beta=102.73 gamma=89.94
Atoms (fractional coordinates):
Pm 0.1254 0.1254 0.2508
Pm 0.8746 0.8746 0.7492
Sb 0.3278 0.3278 0.6554
Sb 0.6724 0.6724 0.3446
Sb 0.9995 0.4998 0.0000
Sb 0.4998 0.9995 0.0000
Pd 0.2501 0.7501 0.5000
Pd 0.7501 0.2501 0.5000

***

Entry from Alexandria via LeMat-Bulk: a relaxed structure of VCo (PBE).

Summary:
size of the total moment = 0.00 μB per formula unit
electronic total energy = -7.6751 eV/atom
Fermi-level density of states = 1.1210 states/eV/atom
energy of formation = 84 kJ/mol of formula units

Unit cell a=4.7000 b=4.7000 c=4.7000 alpha=90.00 beta=90.00 gamma=90.00
Atoms (fractional coordinates):
V 0.0000 0.0000 0.0000
V 0.0000 0.5000 0.5000
V 0.5000 0.0000 0.5000
V 0.5000 0.5000 0.0000
Co 0.5000 0.5000 0.5000
Co 0.5000 0.0000 0.0000
Co 0.0000 0.5000 0.0000
Co 0.0000 0.0000 0.5000

***

Q: Number 1 is which compound?
A: ErPuAgSb